No. 1
! MnNiSb2 (PBE, relaxed); values from VASP
&SYSTEM
  ibrav = 0, nat = 4, ntyp = 3
/
ATOMIC_SPECIES
Mn 54.94 Mn.upf
Sb 121.76 Sb.upf
Ni 58.69 Ni.upf
CELL_PARAMETERS angstrom
-1.6221 2.2328 3.1216
-3.8605 -0.2909 1.5404
0.5278 -3.4522 4.7628
ATOMIC_POSITIONS crystal
Mn 0.7500 0.7500 0.7500
Sb 0.9925 0.9925 0.0230
Sb 0.5075 0.5075 0.4770
Ni 0.2500 0.2500 0.2500
! total magnetic moment	4.0	μB/cell
! formation energy without anion corrections	0.1298	eV/atom

***

No. 2
! Mn4Ni15Sb (PBE, relaxed); values from VASP
&SYSTEM
  ibrav = 0, nat = 20, ntyp = 3
/
ATOMIC_SPECIES
Ni 58.69 Ni.upf
Sb 121.76 Sb.upf
Mn 54.94 Mn.upf
CELL_PARAMETERS angstrom
3.6049 0.0000 0.0000
0.0000 3.6049 0.0000
0.0000 0.0000 17.8762
ATOMIC_POSITIONS crystal
Ni 0.5000 0.5000 0.0000
Ni 0.5000 0.0000 0.1072
Ni 0.5000 0.5000 0.5982
Ni 0.0000 0.5000 0.6965
Ni 0.5000 0.0000 0.5000
Ni 0.5000 0.0000 0.3035
Ni 0.5000 0.0000 0.6965
Ni 0.0000 0.5000 0.1072
Sb 0.0000 0.0000 0.0000
Mn 0.0000 0.0000 0.7939
Ni 0.5000 0.5000 0.7955
Mn 0.0000 0.0000 0.4016
Ni 0.0000 0.5000 0.5000
Ni 0.0000 0.5000 0.8928
Mn 0.0000 0.0000 0.2061
Ni 0.5000 0.5000 0.2045
Ni 0.5000 0.5000 0.4018
Ni 0.0000 0.5000 0.3035
Mn 0.0000 0.0000 0.5984
Ni 0.5000 0.0000 0.8928
! total magnetic moment	19.5	μB/cell
! formation energy without anion corrections	-0.1072	eV/atom

***

No. 3
! Mn4NiSb (PBE, relaxed); values from VASP
&SYSTEM
  ibrav = 0, nat = 6, ntyp = 3
/
ATOMIC_SPECIES
Mn 54.94 Mn.upf
Ni 58.69 Ni.upf
Sb 121.76 Sb.upf
CELL_PARAMETERS angstrom
4.0812 -2.0833 -1.3671
3.1120 -1.5467 3.2846
0.6317 -4.6919 0.6728
ATOMIC_POSITIONS crystal
Mn 0.6246 0.6246 0.6246
Mn 0.6246 0.1263 0.6246
Mn 0.1263 0.6246 0.6246
Mn 0.6246 0.6246 0.1263
Ni 0.2500 0.2500 0.2500
Sb 0.0000 0.0000 0.0000
! total magnetic moment	5.3	μB/cell
! formation energy without anion corrections	0.3306	eV/atom

***

No. 4
! MnNiSb2 (PBE, relaxed); values from VASP
&SYSTEM
  ibrav = 0, nat = 4, ntyp = 3
/
ATOMIC_SPECIES
Sb 121.76 Sb.upf
Mn 54.94 Mn.upf
Ni 58.69 Ni.upf
CELL_PARAMETERS angstrom
-2.6394 -3.3385 -5.0313
2.1016 -1.7079 -6.0077
0.6007 0.2141 6.5589
ATOMIC_POSITIONS crystal
Sb 0.7837 0.2837 0.5000
Mn 0.4361 0.4361 0.0000
Sb 0.0475 0.0475 0.0000
Ni 0.2327 0.7327 0.5000
! total magnetic moment	3.6	μB/cell
! formation energy without anion corrections	0.0860	eV/atom

***

No. 5
! Mn2NiSb (PBE, relaxed); values from VASP
&SYSTEM
  ibrav = 0, nat = 4, ntyp = 3
/
ATOMIC_SPECIES
Sb 121.76 Sb.upf
Mn 54.94 Mn.upf
Ni 58.69 Ni.upf
CELL_PARAMETERS angstrom
-0.7643 3.0167 -7.2823
-3.5649 3.7212 -6.0134
-1.0824 5.5974 -5.4967
ATOMIC_POSITIONS crystal
Sb 0.7500 0.7500 0.7500
Mn 0.5108 0.5108 0.5108
Mn 0.9892 0.9892 0.9892
Ni 0.2500 0.2500 0.2500
! total magnetic moment	7.8	μB/cell
! formation energy without anion corrections	0.3585	eV/atom

***

No. 6
! Mn2NiSb (PBE, relaxed); values from VASP
&SYSTEM
  ibrav = 0, nat = 4, ntyp = 3
/
ATOMIC_SPECIES
Sb 121.76 Sb.upf
Mn 54.94 Mn.upf
Ni 58.69 Ni.upf
CELL_PARAMETERS angstrom
3.7339 0.5747 0.0204
-0.5747 3.7339 0.0204
-0.0176 -0.0241 3.9291
ATOMIC_POSITIONS crystal
Sb 0.0000 0.5000 0.5000
Mn 0.5000 0.5000 0.0000
Ni 0.5000 0.0000 0.5000
Mn 0.0000 0.0000 0.0000
! total magnetic moment	5.4	μB/cell
! formation energy without anion corrections	0.0136	eV/atom

***

No. 7
! MnNiSb (PBE, relaxed); values from VASP
&SYSTEM
  ibrav = 0, nat = 3, ntyp = 3
/
ATOMIC_SPECIES
Sb 121.76 Sb.upf
Ni 58.69 Ni.upf
Mn 54.94 Mn.upf
CELL_PARAMETERS angstrom
4.2808 0.0000 0.0000
2.1404 3.7073 0.0000
2.1404 1.2358 3.4952
ATOMIC_POSITIONS crystal
Sb 0.7500 0.7500 0.7500
Ni 0.5000 0.5000 0.5000
Mn 0.0000 0.0000 0.0000
! total magnetic moment	3.9	μB/cell
! formation energy without anion corrections	0.1761	eV/atom

***

No. 8
! MnNiSb2 (PBE, relaxed); values from VASP
&SYSTEM
  ibrav = 0, nat = 4, ntyp = 3
/
ATOMIC_SPECIES
Ni 58.69 Ni.upf
Mn 54.94 Mn.upf
Sb 121.76 Sb.upf
CELL_PARAMETERS angstrom
5.2686 -0.0055 -0.0043
4.0081 3.4195 -0.0043
0.0051 0.0019 3.9842
ATOMIC_POSITIONS crystal
Ni 0.2918 0.2918 0.1251
Mn 0.4531 0.4531 0.6250
Sb 0.0192 0.0192 0.1249
Sb 0.7359 0.7359 0.6250
! total magnetic moment	3.0	μB/cell
! formation energy without anion corrections	-0.0338	eV/atom

***

No. 9
! Mn3NiSb (PBE, relaxed); values from VASP
&SYSTEM
  ibrav = 0, nat = 5, ntyp = 3
/
ATOMIC_SPECIES
Mn 54.94 Mn.upf
Sb 121.76 Sb.upf
Ni 58.69 Ni.upf
CELL_PARAMETERS angstrom
4.5367 0.0000 0.0000
0.0000 4.5367 0.0000
0.0000 0.0000 4.5367
ATOMIC_POSITIONS crystal
Mn 0.0000 0.0000 0.5000
Mn 0.0000 0.5000 0.0000
Sb 0.5000 0.5000 0.5000
Mn 0.5000 0.0000 0.0000
Ni 0.0000 0.0000 0.0000
! total magnetic moment	12.1	μB/cell
! formation energy without anion corrections	0.5422	eV/atom

***

No. 10
! MnNiSb2 (PBE, relaxed); values from VASP
&SYSTEM
  ibrav = 0, nat = 4, ntyp = 3
/
ATOMIC_SPECIES
Ni 58.69 Ni.upf
Sb 121.76 Sb.upf
Mn 54.94 Mn.upf
CELL_PARAMETERS angstrom
-2.3924 -0.2122 -2.8279
-0.3175 -3.6555 0.5430
-4.0941 0.8605 3.3989
ATOMIC_POSITIONS crystal
Ni 0.5000 0.5000 0.8068
Sb 0.5000 0.5000 0.3165
Mn 0.0000 0.0000 0.4470
Sb 0.0000 0.0000 0.9297
! total magnetic moment	2.8	μB/cell
! formation energy without anion corrections	0.0714	eV/atom

***

No. 11
! MnNiSb2 (PBE, relaxed); values from VASP
&SYSTEM
  ibrav = 0, nat = 4, ntyp = 3
/
ATOMIC_SPECIES
Sb 121.76 Sb.upf
Ni 58.69 Ni.upf
Mn 54.94 Mn.upf
CELL_PARAMETERS angstrom
-3.5256 3.6348 2.4733
-4.2023 -1.7643 3.3147
5.5327 -0.8038 -0.7084
ATOMIC_POSITIONS crystal
Sb 0.0000 0.0000 0.0000
Sb 0.2500 0.7500 0.5000
Ni 0.7500 0.2500 0.5000
Mn 0.5000 0.5000 0.0000
! total magnetic moment	3.7	μB/cell
! formation energy without anion corrections	0.2212	eV/atom

***

No. 12
! Mn2NiSb6 (PBE, relaxed); values from VASP
&SYSTEM
  ibrav = 0, nat = 9, ntyp = 3
/
ATOMIC_SPECIES
Mn 54.94 Mn.upf
Sb 121.76 Sb.upf
Ni 58.69 Ni.upf
CELL_PARAMETERS angstrom
5.5977 0.0000 0.0000
-0.0001 5.6156 -3.2421
0.0000 -0.0001 6.4843
ATOMIC_POSITIONS crystal
Mn 0.5000 0.3333 0.6667
Sb 0.7812 0.6466 0.6466
Sb 0.2188 0.6466 0.0000
Mn 0.5000 0.6667 0.3333
Sb 0.2188 0.0000 0.6466
Sb 0.2188 0.3534 0.3534
Sb 0.7812 0.3534 0.0000
Sb 0.7812 0.0000 0.3534
Ni 0.0000 0.0000 0.0000
! total magnetic moment	4.5	μB/cell
! formation energy without anion corrections	0.0096	eV/atom

***

No. 13
! MnNi2Sb (PBE, relaxed); values from VASP
&SYSTEM
  ibrav = 0, nat = 4, ntyp = 3
/
ATOMIC_SPECIES
Ni 58.69 Ni.upf
Sb 121.76 Sb.upf
Mn 54.94 Mn.upf
CELL_PARAMETERS angstrom
4.6714 0.2472 0.0000
1.3623 4.4751 0.0000
-3.0168 -2.3612 2.6845
ATOMIC_POSITIONS crystal
Ni 0.2500 0.7500 0.5000
Sb 0.5000 0.5000 0.0000
Ni 0.0000 0.0000 0.0000
Mn 0.7500 0.2500 0.5000
! total magnetic moment	3.8	μB/cell
! formation energy without anion corrections	-0.0650	eV/atom

***

No. 14
! MnNiSb2 (PBE, relaxed); values from VASP
&SYSTEM
  ibrav = 0, nat = 4, ntyp = 3
/
ATOMIC_SPECIES
Mn 54.94 Mn.upf
Ni 58.69 Ni.upf
Sb 121.76 Sb.upf
CELL_PARAMETERS angstrom
7.7299 -0.1271 -0.0756
7.0140 3.2513 -0.0756
7.0140 1.4863 2.8928
ATOMIC_POSITIONS crystal
Mn 0.2500 0.2500 0.2500
Ni 0.7500 0.7500 0.7500
Sb 0.0065 0.0065 0.0065
Sb 0.4935 0.4935 0.4935
! total magnetic moment	3.4	μB/cell
! formation energy without anion corrections	0.1738	eV/atom